No. 1
First-principles (GGA-PBE) data for a geometry-optimized Ba6Tl5I structure, as listed in the Alexandria database.

## Properties
DOS(E_F)   1.0649 states/eV per atom
SG   Immm (71)
Formation energy without anion corrections   -515 meV/atom

```
Ba6Tl5I
1.0
-0.2714 -4.6922 -3.7876
-3.1421 -5.0368 6.4644
-6.8264 7.2229 -3.6485
I Tl Ba
1 5 6
direct
0.0000 0.0000 0.0000 I
0.6798 0.1798 0.3595 Tl
0.3262 0.3262 0.6525 Tl
0.0000 0.5000 0.0000 Tl
0.6738 0.6738 0.3475 Tl
0.3202 0.8202 0.6405 Tl
0.8365 0.5862 0.6730 Ba
0.8365 0.0868 0.6730 Ba
0.5000 0.7445 0.0000 Ba
0.5000 0.2555 0.0000 Ba
0.1635 0.9132 0.3270 Ba
0.1635 0.4138 0.3270 Ba
```

***

No. 2
First-principles (GGA-PBE) data for a geometry-optimized Ba4Tl2I structure, as listed in the Alexandria database.

## Properties
DOS(E_F)   1.2057 states/eV per atom
SG   I-42d (122)
Formation energy without anion corrections   -597 meV/atom
Energy above the most stable polymorph in this dataset   0 meV per atom

```
Ba4Tl2I
1.0
-5.2700 5.6089 5.2712
-0.4534 -8.7473 3.2089
8.8046 3.0646 0.3243
I Tl Ba
2 4 8
direct
0.0000 0.0000 0.0000 I
0.7500 0.5000 0.2500 I
0.8750 0.1214 0.4964 Tl
0.5036 0.3786 0.6250 Tl
0.3750 0.8786 0.7536 Tl
0.2464 0.6214 0.1250 Tl
0.1308 0.8975 0.3835 Ba
0.6165 0.7473 0.5139 Ba
0.9833 0.6025 0.7361 Ba
0.2639 0.2473 0.8665 Ba
0.6192 0.7527 0.0167 Ba
0.7667 0.2527 0.8692 Ba
0.4861 0.1025 0.2333 Ba
0.1335 0.3975 0.3808 Ba
```

***

No. 3
First-principles (GGA-PBE) data for a geometry-optimized BaTl2I structure, as listed in the Alexandria database.

## Properties
DOS(E_F)   1.2649 states/eV per atom
SG   Fm-3m (225)
Formation energy without anion corrections   -276 meV/atom
Energy above the most stable polymorph in this dataset   121 meV per atom

```
BaTl2I
1.0
-4.3390 2.9577 2.8793
-0.6425 5.9001 -0.8009
-4.7079 2.1143 -3.0383
I Tl Ba
1 2 1
direct
0.0000 0.0000 0.0000 I
0.2500 0.2500 0.2500 Tl
0.7500 0.7500 0.7500 Tl
0.5000 0.5000 0.5000 Ba
```

***

No. 4
First-principles (GGA-PBE) data for a geometry-optimized Ba5Tl2I structure, as listed in the Alexandria database.

## Properties
DOS(E_F)   1.0589 states/eV per atom
SG   Pnma (62)
Formation energy without anion corrections   -511 meV/atom

```
Ba5Tl2I
1.0
10.4725 0.0000 0.0000
0.0000 9.2569 0.0000
0.0000 0.0000 15.9681
Ba Tl I
20 8 4
direct
0.9999 0.2500 0.5000 Ba
0.0001 0.7500 0.5000 Ba
0.4999 0.7500 0.0000 Ba
0.5001 0.2500 0.0000 Ba
0.3065 0.9997 0.6097 Ba
0.6935 0.0003 0.3903 Ba
0.8065 0.0003 0.8903 Ba
0.6935 0.4997 0.3903 Ba
0.1935 0.9997 0.1097 Ba
0.3065 0.5003 0.6097 Ba
0.1935 0.5003 0.1097 Ba
0.8065 0.4997 0.8903 Ba
0.1799 0.2500 0.8100 Ba
0.8201 0.7500 0.1900 Ba
0.6799 0.7500 0.6900 Ba
0.3201 0.2500 0.3100 Ba
0.6789 0.2500 0.6896 Ba
0.3211 0.7500 0.3104 Ba
0.1789 0.7500 0.8104 Ba
0.8211 0.2500 0.1896 Ba
0.4650 0.5005 0.8158 Tl
0.5350 0.4995 0.1842 Tl
0.9650 0.4995 0.6842 Tl
0.5350 0.0005 0.1842 Tl
0.0350 0.5005 0.3158 Tl
0.4650 0.9995 0.8158 Tl
0.0350 0.9995 0.3158 Tl
0.9650 0.0005 0.6842 Tl
0.4993 0.2500 0.4997 I
0.5007 0.7500 0.5003 I
0.9993 0.7500 0.0003 I
0.0007 0.2500 0.9997 I
```

***

No. 5
First-principles (GGA-PBE) data for a geometry-optimized Ba2TlI2 structure, as listed in the Alexandria database.

## Properties
DOS(E_F)   1.7401 states/eV per atom
SG   P4/mbm (127)
Formation energy without anion corrections   -940 meV/atom
Energy above the most stable polymorph in this dataset   5 meV per atom

```
Ba2TlI2
1.0
-6.0488 5.5942 -5.5746
-6.9182 -7.1402 0.3414
-1.6187 1.7357 3.4983
I Tl Ba
4 2 4
direct
0.3695 0.8695 0.0000 I
0.8695 0.6305 0.0000 I
0.6305 0.1305 0.0000 I
0.1305 0.3695 0.0000 I
0.0000 0.0000 0.0000 Tl
0.5000 0.5000 0.0000 Tl
0.1708 0.6708 0.5000 Ba
0.6708 0.8292 0.5000 Ba
0.8292 0.3292 0.5000 Ba
0.3292 0.1708 0.5000 Ba
```

***

No. 6
First-principles (GGA-PBE) data for a geometry-optimized BaTl2I structure, as listed in the Alexandria database.

## Properties
DOS(E_F)   0.6463 states/eV per atom
SG   I-42d (122)
Formation energy without anion corrections   -398 meV/atom
Energy above the most stable polymorph in this dataset   0 meV per atom

```
BaTl2I
1.0
-1.9211 8.3648 5.1144
-8.1364 1.5477 -5.5875
-6.8858 3.1775 1.9750
I Tl Ba
2 4 2
direct
0.5000 0.5000 0.0000 I
0.2500 0.7500 0.5000 I
0.6058 0.1250 0.2500 Tl
0.1442 0.6250 0.2500 Tl
0.3750 0.3942 0.7500 Tl
0.8750 0.8558 0.7500 Tl
0.0000 0.0000 0.0000 Ba
0.7500 0.2500 0.5000 Ba
```

***

No. 7
First-principles (GGA-PBE) data for a geometry-optimized Ba4Tl2I structure, as listed in the Alexandria database.

## Properties
DOS(E_F)   0.8733 states/eV per atom
SG   P1 (1)
Formation energy without anion corrections   -576 meV/atom
Energy above the most stable polymorph in this dataset   21 meV per atom

```
Ba4Tl2I
1.0
-8.5124 3.1377 5.4010
-3.5173 -6.0741 -5.9917
7.4580 -2.0543 6.6652
Ba Tl I
8 4 2
direct
0.9507 0.1745 0.2853 Ba
0.3883 0.4660 0.1840 Ba
0.7500 0.4389 0.5855 Ba
0.8417 0.2546 0.8762 Ba
0.2347 0.8606 0.1450 Ba
0.3973 0.1997 0.7203 Ba
0.4385 0.7257 0.8051 Ba
0.9103 0.8128 0.4490 Ba
0.7441 0.6384 0.0004 Tl
0.6110 0.9008 0.2635 Tl
0.6405 0.2679 0.1186 Tl
0.1254 0.3765 0.7591 Tl
0.1828 0.6449 0.3922 I
0.0346 0.9888 0.9157 I
```

***

No. 8
First-principles (GGA-PBE) data for a geometry-optimized Ba3TlI structure, as listed in the Alexandria database.

## Properties
DOS(E_F)   0.8617 states/eV per atom
SG   Pm-3m (221)
Formation energy without anion corrections   -400 meV/atom
Energy above the most stable polymorph in this dataset   237 meV per atom

```
Ba3TlI
1.0
6.7527 0.0000 0.0000
0.0000 6.7527 0.0000
0.0000 0.0000 6.7527
I Tl Ba
1 1 3
direct
0.5000 0.5000 0.5000 I
0.0000 0.0000 0.0000 Tl
0.0000 0.5000 0.0000 Ba
0.0000 0.0000 0.5000 Ba
0.5000 0.0000 0.0000 Ba
```

***

No. 9
First-principles (GGA-PBE) data for a geometry-optimized BaTlI3 structure, as listed in the Alexandria database.

## Properties
DOS(E_F)   0.0273 states/eV per atom
SG   Pm-3m (221)
Formation energy without anion corrections   -884 meV/atom
Energy above the most stable polymorph in this dataset   402 meV per atom

```
BaTlI3
1.0
-2.0911 5.1536 -3.0487
-3.5413 1.5395 5.0315
4.8284 3.3611 2.3699
I Tl Ba
3 1 1
direct
0.0000 0.5000 0.0000 I
0.0000 0.0000 0.5000 I
0.5000 0.0000 0.0000 I
0.0000 0.0000 0.0000 Tl
0.5000 0.5000 0.5000 Ba
```

***

No. 10
First-principles (GGA-PBE) data for a geometry-optimized BaTlI5 structure, as listed in the Alexandria database.

## Properties
SG   C2/c (15)
Formation energy without anion corrections   -853 meV/atom

```
BaTlI5
1.0
8.4689 0.2195 -3.0748
-1.0890 8.4021 -3.0736
-0.1504 -0.1753 12.0360
Ba Tl I
2 2 10
direct
0.5000 0.0000 0.0000 Ba
0.5000 0.0000 0.5000 Ba
0.8891 0.6111 0.2501 Tl
0.1109 0.3889 0.7499 Tl
0.7863 0.7279 0.0475 I
0.2310 0.6526 0.3662 I
0.3785 0.1212 0.2499 I
0.7725 0.7141 0.4527 I
0.2275 0.2859 0.5473 I
0.8473 0.2692 0.1339 I
0.1527 0.7308 0.8661 I
0.6215 0.8788 0.7501 I
0.7690 0.3474 0.6338 I
0.2137 0.2721 0.9525 I
```

***

No. 11
First-principles (GGA-PBE) data for a geometry-optimized Ba2TlI2 structure, as listed in the Alexandria database.

## Properties
DOS(E_F)   0.8380 states/eV per atom
SG   I4/mmm (139)
Formation energy without anion corrections   -904 meV/atom
Energy above the most stable polymorph in this dataset   41 meV per atom

```
Ba2TlI2
1.0
5.5023 0.0000 0.0000
0.0000 5.5023 0.0000
2.7511 2.7511 8.4445
I Tl Ba
2 1 2
direct
0.7500 0.2500 0.5000 I
0.2500 0.7500 0.5000 I
0.0000 0.0000 0.0000 Tl
0.3773 0.3773 0.2454 Ba
0.6227 0.6227 0.7546 Ba
```

***

No. 12
First-principles (GGA-PBE) data for a geometry-optimized Ba3TlI structure, as listed in the Alexandria database.

## Properties
DOS(E_F)   0.3380 states/eV per atom
SG   C2/m (12)
Formation energy without anion corrections   -511 meV/atom
Energy above the most stable polymorph in this dataset   126 meV per atom

```
Ba3TlI
1.0
9.0702 0.0000 0.0000
0.0000 8.4320 0.3434
-4.5351 -2.9677 8.2482
Ba Tl I
6 2 2
direct
0.9780 0.7430 0.4464 Ba
0.0369 0.2527 0.0738 Ba
0.4684 0.7430 0.4464 Ba
0.5316 0.2570 0.5536 Ba
0.0220 0.2570 0.5536 Ba
0.9631 0.7473 0.9262 Ba
0.8431 0.0111 0.6863 Tl
0.1569 0.9889 0.3137 Tl
0.3599 0.6059 0.7197 I
0.6401 0.3941 0.2803 I
```

***

No. 13
First-principles (GGA-PBE) data for a geometry-optimized BaTlI3 structure, as listed in the Alexandria database.

## Properties
DOS(E_F)   0.0000 states/eV per atom
SG   P2_1/m (11)
Formation energy without anion corrections   -1285 meV/atom
Energy above the most stable polymorph in this dataset   0 meV per atom

```
BaTlI3
1.0
-2.5817 -3.0344 -2.9921
-1.9261 -3.0535 8.9524
-8.4549 6.7253 0.4748
Ba Tl I
2 2 6
direct
0.2436 0.9875 0.2500 Ba
0.7564 0.0125 0.7500 Ba
0.9804 0.4651 0.2500 Tl
0.0196 0.5349 0.7500 Tl
0.8352 0.1688 0.0641 I
0.1648 0.8312 0.9359 I
0.8352 0.1688 0.4359 I
0.1648 0.8312 0.5641 I
0.6065 0.7158 0.2500 I
0.3935 0.2842 0.7500 I
```

***

No. 14
First-principles (GGA-PBE) data for a geometry-optimized BaTl2I2 structure, as listed in the Alexandria database.

## Properties
DOS(E_F)   0.1413 states/eV per atom
SG   P4/mbm (127)
Formation energy without anion corrections   -692 meV/atom
Energy above the most stable polymorph in this dataset   133 meV per atom

```
BaTl2I2
1.0
9.0866 0.0000 0.0000
0.0000 9.0866 0.0000
0.0000 0.0000 5.3480
I Tl Ba
4 4 2
direct
0.3484 0.8484 0.0000 I
0.8484 0.6516 0.0000 I
0.6516 0.1516 0.0000 I
0.1516 0.3484 0.0000 I
0.1840 0.6840 0.5000 Tl
0.6840 0.8160 0.5000 Tl
0.8160 0.3160 0.5000 Tl
0.3160 0.1840 0.5000 Tl
0.0000 0.0000 0.0000 Ba
0.5000 0.5000 0.0000 Ba
```

***

No. 15
First-principles (GGA-PBE) data for a geometry-optimized BaTl3I structure, as listed in the Alexandria database.

## Properties
DOS(E_F)   1.5127 states/eV per atom
SG   Pm-3m (221)
Formation energy without anion corrections   360 meV/atom
Energy above the most stable polymorph in this dataset   371 meV per atom

```
BaTl3I
1.0
6.6615 0.0000 0.0000
0.0000 6.6615 0.0000
0.0000 0.0000 6.6615
I Tl Ba
1 3 1
direct
0.5000 0.5000 0.5000 I
0.0000 0.5000 0.0000 Tl
0.0000 0.0000 0.5000 Tl
0.5000 0.0000 0.0000 Tl
0.0000 0.0000 0.0000 Ba
```

***

No. 16
First-principles (GGA-PBE) data for a geometry-optimized Ba5TlI5 structure, as listed in the Alexandria database.

## Properties
DOS(E_F)   0.2675 states/eV per atom
SG   C2/m (12)
Formation energy without anion corrections   -1314 meV/atom

```
Ba5TlI5
1.0
7.0767 0.0000 0.0000
-3.5383 7.7935 -2.6800
0.0000 0.0595 10.2337
Ba Tl I
5 1 5
direct
0.8507 0.7014 0.1616 Ba
0.8476 0.6951 0.6873 Ba
0.5000 0.0000 0.0000 Ba
0.1524 0.3049 0.3127 Ba
0.1493 0.2986 0.8384 Ba
0.0000 0.0000 0.0000 Tl
0.6878 0.3756 0.3371 I
0.6754 0.3507 0.8404 I
0.0000 0.0000 0.5000 I
0.3246 0.6493 0.1596 I
0.3122 0.6244 0.6629 I
```

***

No. 17
First-principles (GGA-PBE) data for a geometry-optimized BaTl2I2 structure, as listed in the Alexandria database.

## Properties
DOS(E_F)   0.3734 states/eV per atom
SG   I4/mmm (139)
Formation energy without anion corrections   -615 meV/atom
Energy above the most stable polymorph in this dataset   209 meV per atom

```
BaTl2I2
1.0
-5.0092 -1.6822 3.9966
1.8362 -6.3548 -0.3734
1.3867 -3.3939 5.8011
I Tl Ba
2 2 1
direct
0.7500 0.2500 0.5000 I
0.2500 0.7500 0.5000 I
0.3454 0.3454 0.3092 Tl
0.6546 0.6546 0.6908 Tl
0.0000 0.0000 0.0000 Ba
```

***

No. 18
First-principles (GGA-PBE) data for a geometry-optimized BaTlI3 structure, as listed in the Alexandria database.

## Properties
DOS(E_F)   0.0000 states/eV per atom
SG   Pm-3m (221)
Formation energy without anion corrections   -1135 meV/atom
Energy above the most stable polymorph in this dataset   150 meV per atom

```
BaTlI3
1.0
-2.1951 5.5140 3.1772
-4.8320 -3.6313 2.9637
4.1414 -1.3141 5.1420
I Tl Ba
3 1 1
direct
0.0000 0.5000 0.0000 I
0.0000 0.0000 0.5000 I
0.5000 0.0000 0.0000 I
0.5000 0.5000 0.5000 Tl
0.0000 0.0000 0.0000 Ba
```

***

No. 19
First-principles (GGA-PBE) data for a geometry-optimized Ba3TlI structure, as listed in the Alexandria database.

## Properties
DOS(E_F)   1.0156 states/eV per atom
SG   Pmmn (59)
Formation energy without anion corrections   -637 meV/atom
Energy above the most stable polymorph in this dataset   0 meV per atom

```
Ba3TlI
1.0
-0.3072 4.4865 1.1944
-4.5903 -2.4774 8.1257
9.9491 -0.7538 5.3905
Ba Tl I
6 2 2
direct
0.7500 0.4783 0.1595 Ba
0.2500 0.5217 0.8405 Ba
0.7500 0.0217 0.1595 Ba
0.2500 0.9783 0.8405 Ba
0.7500 0.2500 0.5809 Ba
0.2500 0.7500 0.4191 Ba
0.7500 0.2500 0.8970 Tl
0.2500 0.7500 0.1030 Tl
0.2500 0.2500 0.3292 I
0.7500 0.7500 0.6708 I
```

***

No. 20
First-principles (GGA-PBE) data for a geometry-optimized Ba3Tl2I8 structure, as listed in the Alexandria database.

## Properties
DOS(E_F)   0.0000 states/eV per atom
SG   C2/m (12)
Formation energy without anion corrections   -1409 meV/atom

```
Ba3Tl2I8
1.0
8.8776 0.3815 0.6075
0.6408 8.7665 4.2113
0.6366 0.0849 9.7255
Ba Tl I
3 2 8
direct
0.5000 0.0000 0.0000 Ba
0.0000 0.7482 0.2518 Ba
0.0000 0.2518 0.7482 Ba
0.4271 0.7107 0.7107 Tl
0.5729 0.2893 0.2893 Tl
0.8814 0.3851 0.3851 I
0.1186 0.6149 0.6149 I
0.8631 0.8886 0.8886 I
0.1369 0.1114 0.1114 I
0.6430 0.3511 0.8956 I
0.6430 0.8956 0.3511 I
0.3570 0.1044 0.6489 I
0.3570 0.6489 0.1044 I
```